No. 1
# PBE Pu8Ge2H, relaxed
data_Pu8Ge2H
_symmetry_space_group_name_H-M 'P 1'
_symmetry_Int_Tables_number 1
_cell_length_a 5.0668
_cell_length_b 5.6958
_cell_length_c 8.4333
_cell_angle_alpha 104.24
_cell_angle_beta 105.51
_cell_angle_gamma 100.79
loop_
_symmetry_equiv_pos_as_xyz
'x,y,z'
loop_
_atom_site_label
_atom_site_fract_x
_atom_site_fract_y
_atom_site_fract_z
Pu1 0.0117 0.0907 0.3578
Pu2 0.1899 0.4984 0.7944
Pu3 0.2600 0.2434 0.0515
Pu4 0.4652 0.7271 0.5198
Pu5 0.5348 0.2729 0.4802
Pu6 0.7400 0.7566 0.9485
Pu7 0.8101 0.5016 0.2056
Pu8 0.9883 0.9093 0.6422
Ge1 0.3604 0.8064 0.1715
Ge2 0.6396 0.1936 0.8285
H1 0.0000 0.5000 0.5000
# Final energy ... -0.8614 Ry per atom
# DOS at the Fermi energy ... 3.33 states/eV/atom
# Space-group type ... No. 2

---

No. 2
# PBE Pu4Ge2H, relaxed
data_Pu4Ge2H
_symmetry_space_group_name_H-M 'P 1'
_symmetry_Int_Tables_number 1
_cell_length_a 8.5142
_cell_length_b 8.5142
_cell_length_c 8.5142
_cell_angle_alpha 150.23
_cell_angle_beta 150.23
_cell_angle_gamma 42.60
loop_
_symmetry_equiv_pos_as_xyz
'x,y,z'
loop_
_atom_site_label
_atom_site_fract_x
_atom_site_fract_y
_atom_site_fract_z
Pu1 0.0000 0.5000 0.5000
Pu2 0.1794 0.1794 0.0000
Pu3 0.5000 0.0000 0.5000
Pu4 0.8206 0.8206 0.0000
Ge1 0.3664 0.3664 0.0000
Ge2 0.6336 0.6336 0.0000
H1 0.0000 0.0000 0.0000
# E above lowest polymorph ... 0.024 eV per atom
# Final energy ... -0.7549 Ry per atom
# DOS at the Fermi energy ... 4.38 states/eV/atom
# Space-group type ... No. 139

---

No. 3
# PBE Pu4Ge3H4, relaxed
data_Pu4Ge3H4
_symmetry_space_group_name_H-M 'P 1'
_symmetry_Int_Tables_number 1
_cell_length_a 8.1264
_cell_length_b 5.8914
_cell_length_c 5.8914
_cell_angle_alpha 40.32
_cell_angle_beta 90.00
_cell_angle_gamma 90.00
loop_
_symmetry_equiv_pos_as_xyz
'x,y,z'
loop_
_atom_site_label
_atom_site_fract_x
_atom_site_fract_y
_atom_site_fract_z
Pu1 0.0000 0.0000 0.0000
Pu2 0.2453 0.6880 0.6880
Pu3 0.5000 0.9863 0.9863
Pu4 0.7547 0.6880 0.6880
Ge1 0.0000 0.2824 0.2824
Ge2 0.2594 0.4006 0.4006
Ge3 0.7406 0.4006 0.4006
H1 0.0000 0.5919 0.5919
H2 0.2590 0.0968 0.0968
H3 0.5000 0.5975 0.5975
H4 0.7410 0.0968 0.0968
# Final energy ... -0.5960 Ry per atom
# DOS at the Fermi energy ... 3.01 states/eV/atom
# Space-group type ... No. 38

---

No. 4
# PBE Pu4Ge2H, relaxed
data_Pu4Ge2H
_symmetry_space_group_name_H-M 'P 1'
_symmetry_Int_Tables_number 1
_cell_length_a 5.4777
_cell_length_b 6.1508
_cell_length_c 8.6394
_cell_angle_alpha 90.00
_cell_angle_beta 99.01
_cell_angle_gamma 90.00
loop_
_symmetry_equiv_pos_as_xyz
'x,y,z'
loop_
_atom_site_label
_atom_site_fract_x
_atom_site_fract_y
_atom_site_fract_z
Pu1 0.1867 0.2500 0.0666
Pu2 0.2274 0.7500 0.3890
Pu3 0.3112 0.5115 0.7229
Pu4 0.3112 0.9885 0.7229
Pu5 0.6888 0.0115 0.2771
Pu6 0.6888 0.4885 0.2771
Pu7 0.7726 0.2500 0.6110
Pu8 0.8133 0.7500 0.9334
Ge1 0.2230 0.2500 0.4204
Ge2 0.3329 0.7500 0.0536
Ge3 0.6671 0.2500 0.9464
Ge4 0.7770 0.7500 0.5796
H1 0.0920 0.2500 0.8074
H2 0.9080 0.7500 0.1926
# E above lowest polymorph ... 0.000 eV per atom
# Final energy ... -0.7567 Ry per atom
# DOS at the Fermi energy ... 3.92 states/eV/atom
# Space-group type ... No. 11

---

No. 5
# PBE Pu5GeH, relaxed
data_Pu5GeH
_symmetry_space_group_name_H-M 'P 1'
_symmetry_Int_Tables_number 1
_cell_length_a 4.4104
_cell_length_b 4.4104
_cell_length_c 7.8969
_cell_angle_alpha 90.00
_cell_angle_beta 90.00
_cell_angle_gamma 90.00
loop_
_symmetry_equiv_pos_as_xyz
'x,y,z'
loop_
_atom_site_label
_atom_site_fract_x
_atom_site_fract_y
_atom_site_fract_z
Pu1 0.0000 0.0000 0.0000
Pu2 0.0000 0.5000 0.3011
Pu3 0.0000 0.5000 0.6989
Pu4 0.5000 0.0000 0.3011
Pu5 0.5000 0.0000 0.6989
Ge1 0.5000 0.5000 0.0000
H1 0.0000 0.0000 0.5000
# Final energy ... -0.8329 Ry per atom
# DOS at the Fermi energy ... 3.53 states/eV/atom
# Space-group type ... No. 123

---

No. 6
# PBE Pu3Ge2H, relaxed
data_Pu3Ge2H
_symmetry_space_group_name_H-M 'P 1'
_symmetry_Int_Tables_number 1
_cell_length_a 11.5767
_cell_length_b 4.2967
_cell_length_c 10.0036
_cell_angle_alpha 90.00
_cell_angle_beta 90.00
_cell_angle_gamma 90.00
loop_
_symmetry_equiv_pos_as_xyz
'x,y,z'
loop_
_atom_site_label
_atom_site_fract_x
_atom_site_fract_y
_atom_site_fract_z
Pu1 0.0471 0.2500 0.1091
Pu2 0.1313 0.7500 0.5407
Pu3 0.2461 0.7500 0.2965
Pu4 0.2539 0.2500 0.7965
Pu5 0.3687 0.2500 0.0407
Pu6 0.4529 0.7500 0.6091
Pu7 0.5471 0.2500 0.3909
Pu8 0.6313 0.7500 0.9593
Pu9 0.7461 0.7500 0.2035
Pu10 0.7539 0.2500 0.7035
Pu11 0.8687 0.2500 0.4593
Pu12 0.9529 0.7500 0.8909
Ge1 0.0153 0.2500 0.7078
Ge2 0.1997 0.7500 0.9963
Ge3 0.3003 0.2500 0.4963
Ge4 0.4847 0.7500 0.2078
Ge5 0.5153 0.2500 0.7922
Ge6 0.6997 0.7500 0.5037
Ge7 0.8003 0.2500 0.0037
Ge8 0.9847 0.7500 0.2922
H1 0.2301 0.2500 0.2072
H2 0.2699 0.7500 0.7072
H3 0.7301 0.2500 0.2928
H4 0.7699 0.7500 0.7928
# E above lowest polymorph ... 0.000 eV per atom
# Final energy ... -0.7036 Ry per atom
# DOS at the Fermi energy ... 3.66 states/eV/atom
# Space-group type ... No. 62